(w)
GGA-PBEsol MnAg2W, relaxed; symmetry = P4mm
1.0
2.714 0.000 0.000
0.000 2.714 0.000
0.000 0.000 8.276
Mn Ag W
1 2 1
Direct
0.000 0.000 0.000
0.000 0.000 0.493
0.500 0.500 0.757
0.500 0.500 0.229



(x)
GGA-PBEsol MnAg2W, relaxed; symmetry = P4/mmm
1.0
4.833 0.000 0.000
0.000 4.833 0.000
0.000 0.000 2.732
Mn Ag W
1 2 1
Direct
0.000 0.000 0.000
0.000 0.500 0.500
0.500 0.000 0.500
0.500 0.500 0.000



Verdict on stability: (w) comes out on top.



(w)
GGA-PBEsol AgMo, relaxed; symmetry = Fd-3m
1.0
0.000 3.175 3.175
3.175 0.000 3.175
3.175 3.175 0.000
Ag Mo
2 2
Direct
0.125 0.125 0.125
0.875 0.875 0.875
0.375 0.375 0.375
0.625 0.625 0.625



(x)
GGA-PBEsol AgMo, relaxed; symmetry = P-3m1
1.0
2.755 0.000 0.000
-1.378 2.386 0.000
0.000 0.000 9.679
Ag Mo
2 2
Direct
0.333 0.667 0.374
0.667 0.333 0.626
0.333 0.667 0.878
0.667 0.333 0.122



Verdict on stability: (x) comes out on top.